Entry 1:
Density functional theory data (GGA-PBE) for crystalline FeReTc4 at its relaxed geometry.

Results
As for the total magnetization: 0.36 μB per atom. The crystal system is cubic. The formation energy comes out at 0.3927 eV/atom. As for the density of states at the Fermi level: 5.7 states/eV/f.u.

```
data_FeReTc4
_space_group_name_H-M_alt 'F -4 3 m'
_space_group_IT_number 216
_space_group_name_Hall 'F -4 2 3'
_cell_length_a 7.125
_cell_length_b 7.125
_cell_length_c 7.125
_cell_angle_alpha 90.00
_cell_angle_beta 90.00
_cell_angle_gamma 90.00
loop_
_atom_site_label
_atom_site_type_symbol
_atom_site_fract_x
_atom_site_fract_y
_atom_site_fract_z
Fe1 Fe 0.000 0.000 0.000
Re1 Re 0.250 0.250 0.750
Tc1 Tc 0.126 0.126 0.374
```

***

Entry 2:
Density functional theory data (GGA-PBE) for crystalline FeRe2Tc at its relaxed geometry.

Results
As for the total magnetization: 0.73 μB per atom. The crystal system is orthorhombic. The formation energy comes out at 0.1509 eV/atom. As for the density of states at the Fermi level: 3.5 states/eV/f.u.

```
data_FeRe2Tc
_space_group_name_H-M_alt 'I m m m'
_space_group_IT_number 71
_space_group_name_Hall '-I 2 2'
_cell_length_a 3.037
_cell_length_b 4.296
_cell_length_c 8.729
_cell_angle_alpha 90.00
_cell_angle_beta 90.00
_cell_angle_gamma 90.00
loop_
_atom_site_label
_atom_site_type_symbol
_atom_site_fract_x
_atom_site_fract_y
_atom_site_fract_z
Fe1 Fe 0.000 0.000 0.000
Re1 Re 0.000 0.500 0.262
Tc1 Tc 0.000 0.000 0.500
```

***

Entry 3:
Density functional theory data (GGA-PBE) for crystalline Fe2ReTc2 at its relaxed geometry.

Results
As for the total magnetization: 0.00 μB per atom. The crystal system is tetragonal. The formation energy comes out at 0.1523 eV/atom. As for the density of states at the Fermi level: 5.6 states/eV/f.u.

```
data_Fe2ReTc2
_space_group_name_H-M_alt 'P 4/m b m'
_space_group_IT_number 127
_space_group_name_Hall '-P 4 2ab'
_cell_length_a 6.897
_cell_length_b 6.897
_cell_length_c 2.748
_cell_angle_alpha 90.00
_cell_angle_beta 90.00
_cell_angle_gamma 90.00
loop_
_atom_site_label
_atom_site_type_symbol
_atom_site_fract_x
_atom_site_fract_y
_atom_site_fract_z
Fe1 Fe 0.122 0.378 0.000
Re1 Re 0.000 0.000 0.000
Tc1 Tc 0.174 0.674 0.500
```

***

Entry 4:
Density functional theory data (GGA-PBE) for crystalline FeReTc2 at its relaxed geometry.

Results
As for the total magnetization: 0.72 μB per atom. The crystal system is cubic. The formation energy comes out at 0.2061 eV/atom. As for the density of states at the Fermi level: 3.9 states/eV/f.u.

```
data_FeReTc2
_space_group_name_H-M_alt 'F -4 3 m'
_space_group_IT_number 216
_space_group_name_Hall 'F -4 2 3'
_cell_length_a 6.095
_cell_length_b 6.095
_cell_length_c 6.095
_cell_angle_alpha 90.00
_cell_angle_beta 90.00
_cell_angle_gamma 90.00
loop_
_atom_site_label
_atom_site_type_symbol
_atom_site_fract_x
_atom_site_fract_y
_atom_site_fract_z
Fe1 Fe 0.000 0.000 0.000
Re1 Re 0.250 0.250 0.250
Tc1 Tc 0.000 0.000 0.500
Tc2 Tc 0.250 0.250 0.750
```

***

Entry 5:
Density functional theory data (GGA-PBE) for crystalline Fe2ReTc at its relaxed geometry.

Results
As for the total magnetization: 1.26 μB per atom. The crystal system is orthorhombic. The formation energy comes out at 0.1467 eV/atom. As for the density of states at the Fermi level: 3.6 states/eV/f.u.

```
data_Fe2ReTc
_space_group_name_H-M_alt 'I m m m'
_space_group_IT_number 71
_space_group_name_Hall '-I 2 2'
_cell_length_a 3.057
_cell_length_b 4.170
_cell_length_c 8.457
_cell_angle_alpha 90.00
_cell_angle_beta 90.00
_cell_angle_gamma 90.00
loop_
_atom_site_label
_atom_site_type_symbol
_atom_site_fract_x
_atom_site_fract_y
_atom_site_fract_z
Fe1 Fe 0.000 0.000 0.249
Re1 Re 0.000 0.500 0.500
Tc1 Tc 0.000 0.500 0.000
```

***

Entry 6:
Density functional theory data (GGA-PBE) for crystalline FeRe2Tc3 at its relaxed geometry.

Results
As for the total magnetization: 0.51 μB per atom. The crystal system is orthorhombic. The formation energy comes out at 0.1982 eV/atom. As for the density of states at the Fermi level: 5.4 states/eV/f.u.

```
data_FeRe2Tc3
_space_group_name_H-M_alt 'C m m m'
_space_group_IT_number 65
_space_group_name_Hall '-C 2 2'
_cell_length_a 4.294
_cell_length_b 9.357
_cell_length_c 4.315
_cell_angle_alpha 90.00
_cell_angle_beta 90.00
_cell_angle_gamma 90.00
loop_
_atom_site_label
_atom_site_type_symbol
_atom_site_fract_x
_atom_site_fract_y
_atom_site_fract_z
Fe1 Fe 0.000 0.000 0.000
Re1 Re 0.000 0.165 0.500
Tc1 Tc 0.000 0.335 0.000
Tc2 Tc 0.000 0.500 0.500
```

***

Entry 7:
Density functional theory data (GGA-PBE) for crystalline FeReTc2 at its relaxed geometry.

Results
As for the total magnetization: 0.31 μB per atom. The crystal system is monoclinic. The formation energy comes out at 0.1179 eV/atom. As for the density of states at the Fermi level: 5.2 states/eV/f.u.

```
data_FeReTc2
_space_group_name_H-M_alt 'C 1 2/m 1'
_space_group_IT_number 12
_space_group_name_Hall '-C 2y'
_cell_length_a 8.880
_cell_length_b 2.719
_cell_length_c 4.671
_cell_angle_alpha 90.00
_cell_angle_beta 99.87
_cell_angle_gamma 90.00
loop_
_atom_site_label
_atom_site_type_symbol
_atom_site_fract_x
_atom_site_fract_y
_atom_site_fract_z
Fe1 Fe 0.000 0.000 0.000
Re1 Re 0.000 0.500 0.500
Tc1 Tc 0.246 0.500 0.238
```

***

Entry 8:
Density functional theory data (GGA-PBE) for crystalline Fe2ReTc at its relaxed geometry.

Results
As for the total magnetization: 0.00 μB per atom. The crystal system is orthorhombic. The formation energy comes out at 0.0776 eV/atom. As for the density of states at the Fermi level: 4.0 states/eV/f.u.

```
data_Fe2ReTc
_space_group_name_H-M_alt 'C m m m'
_space_group_IT_number 65
_space_group_name_Hall '-C 2 2'
_cell_length_a 5.273
_cell_length_b 7.269
_cell_length_c 2.629
_cell_angle_alpha 90.00
_cell_angle_beta 90.00
_cell_angle_gamma 90.00
loop_
_atom_site_label
_atom_site_type_symbol
_atom_site_fract_x
_atom_site_fract_y
_atom_site_fract_z
Fe1 Fe 0.250 0.250 0.000
Re1 Re 0.000 0.000 0.500
Tc1 Tc 0.000 0.500 0.500
```

***

Entry 9:
Density functional theory data (GGA-PBE) for crystalline Fe2ReTc at its relaxed geometry.

Results
As for the total magnetization: 1.27 μB per atom. The crystal system is orthorhombic. The formation energy comes out at 0.1440 eV/atom. As for the density of states at the Fermi level: 3.4 states/eV/f.u.

```
data_Fe2ReTc
_space_group_name_H-M_alt 'P m m m'
_space_group_IT_number 47
_space_group_name_Hall '-P 2 2'
_cell_length_a 3.047
_cell_length_b 4.178
_cell_length_c 4.236
_cell_angle_alpha 90.00
_cell_angle_beta 90.00
_cell_angle_gamma 90.00
loop_
_atom_site_label
_atom_site_type_symbol
_atom_site_fract_x
_atom_site_fract_y
_atom_site_fract_z
Fe1 Fe 0.000 0.000 0.000
Fe2 Fe 0.500 0.500 0.000
Re1 Re 0.000 0.500 0.500
Tc1 Tc 0.500 0.000 0.500
```

***

Entry 10:
Density functional theory data (GGA-PBE) for crystalline Fe2ReTc at its relaxed geometry.

Results
As for the total magnetization: 0.60 μB per atom. The crystal system is trigonal. The formation energy comes out at 0.1778 eV/atom. As for the density of states at the Fermi level: 4.5 states/eV/f.u.

```
data_Fe2ReTc
_space_group_name_H-M_alt 'R -3 m'
_space_group_IT_number 166
_space_group_name_Hall '-R 3 2"'
_cell_length_a 2.6634
_cell_length_b 2.6634
_cell_length_c 25.5144
_cell_angle_alpha 90.00
_cell_angle_beta 90.00
_cell_angle_gamma 120.00
loop_
_atom_site_label
_atom_site_type_symbol
_atom_site_fract_x
_atom_site_fract_y
_atom_site_fract_z
Fe1 Fe 0.0000 0.0000 0.2503
Re1 Re 0.0000 0.0000 0.5000
Tc1 Tc 0.0000 0.0000 0.0000
```

***

Entry 11:
Density functional theory data (GGA-PBE) for crystalline FeReTc4 at its relaxed geometry.

Results
As for the total magnetization: 0.09 μB per atom. The crystal system is monoclinic. The formation energy comes out at 0.2074 eV/atom. As for the density of states at the Fermi level: 6.3 states/eV/f.u.

```
data_FeReTc4
_space_group_name_H-M_alt 'C 1 2/c 1'
_space_group_IT_number 15
_space_group_name_Hall '-C 2yc'
_cell_length_a 6.859
_cell_length_b 11.214
_cell_length_c 4.734
_cell_angle_alpha 90.00
_cell_angle_beta 109.33
_cell_angle_gamma 90.00
loop_
_atom_site_label
_atom_site_type_symbol
_atom_site_fract_x
_atom_site_fract_y
_atom_site_fract_z
Fe1 Fe 0.000 0.004 0.250
Re1 Re 0.000 0.417 0.750
Tc1 Tc 0.102 0.192 0.045
Tc2 Tc 0.212 0.378 0.375
```

***

Entry 12:
Density functional theory data (GGA-PBE) for crystalline FeReTc2 at its relaxed geometry.

Results
As for the total magnetization: 0.36 μB per atom. The crystal system is orthorhombic. The formation energy comes out at 0.1168 eV/atom. As for the density of states at the Fermi level: 4.3 states/eV/f.u.

```
data_FeReTc2
_space_group_name_H-M_alt 'C m m m'
_space_group_IT_number 65
_space_group_name_Hall '-C 2 2'
_cell_length_a 5.392
_cell_length_b 7.642
_cell_length_c 2.726
_cell_angle_alpha 90.00
_cell_angle_beta 90.00
_cell_angle_gamma 90.00
loop_
_atom_site_label
_atom_site_type_symbol
_atom_site_fract_x
_atom_site_fract_y
_atom_site_fract_z
Fe1 Fe 0.000 0.000 0.000
Re1 Re 0.000 0.500 0.000
Tc1 Tc 0.250 0.250 0.500
```

***

Entry 13:
Density functional theory data (GGA-PBE) for crystalline Fe2ReTc at its relaxed geometry.

Results
As for the total magnetization: 1.29 μB per atom. The crystal system is tetragonal. The formation energy comes out at 0.1527 eV/atom. As for the density of states at the Fermi level: 4.1 states/eV/f.u.

```
data_Fe2ReTc
_space_group_name_H-M_alt 'P 4/m m m'
_space_group_IT_number 123
_space_group_name_Hall '-P 4 2'
_cell_length_a 4.209
_cell_length_b 4.209
_cell_length_c 2.986
_cell_angle_alpha 90.00
_cell_angle_beta 90.00
_cell_angle_gamma 90.00
loop_
_atom_site_label
_atom_site_type_symbol
_atom_site_fract_x
_atom_site_fract_y
_atom_site_fract_z
Fe1 Fe 0.000 0.500 0.000
Re1 Re 0.000 0.000 0.500
Tc1 Tc 0.500 0.500 0.500
```

***

Entry 14:
Density functional theory data (GGA-PBE) for crystalline FeReTc2 at its relaxed geometry.

Results
As for the total magnetization: 0.20 μB per atom. The crystal system is tetragonal. The formation energy comes out at 0.0901 eV/atom. As for the density of states at the Fermi level: 3.6 states/eV/f.u.

```
data_FeReTc2
_space_group_name_H-M_alt 'P 4 m m'
_space_group_IT_number 99
_space_group_name_Hall 'P 4 -2'
_cell_length_a 2.694
_cell_length_b 2.694
_cell_length_c 7.569
_cell_angle_alpha 90.00
_cell_angle_beta 90.00
_cell_angle_gamma 90.00
loop_
_atom_site_label
_atom_site_type_symbol
_atom_site_fract_x
_atom_site_fract_y
_atom_site_fract_z
Fe1 Fe 0.000 0.000 0.000
Re1 Re 0.500 0.500 0.231
Tc1 Tc 0.000 0.000 0.501
Tc2 Tc 0.500 0.500 0.764
```

***

Entry 15:
Density functional theory data (GGA-PBE) for crystalline Fe8ReTc3 at its relaxed geometry.

Results
As for the total magnetization: 0.72 μB per atom. The crystal system is trigonal. The formation energy comes out at 0.0182 eV/atom. As for the density of states at the Fermi level: 10.5 states/eV/f.u.

```
data_Fe8ReTc3
_space_group_name_H-M_alt 'P 3 m 1'
_space_group_IT_number 156
_space_group_name_Hall 'P 3 -2"'
_cell_length_a 4.6388
_cell_length_b 4.6388
_cell_length_c 7.6493
_cell_angle_alpha 90.00
_cell_angle_beta 90.00
_cell_angle_gamma 120.00
loop_
_atom_site_label
_atom_site_type_symbol
_atom_site_fract_x
_atom_site_fract_y
_atom_site_fract_z
Fe1 Fe 0.0000 0.0000 0.0000
Fe2 Fe 0.0000 0.0000 0.5002
Fe3 Fe 0.1696 0.3392 0.2505
Fe4 Fe 0.3393 0.1696 0.7503
Re1 Re 0.6667 0.3333 0.0642
Tc1 Tc 0.3333 0.6667 0.5645
Tc2 Tc 0.3333 0.6667 0.9370
Tc3 Tc 0.6667 0.3333 0.4356
```

***

Entry 16:
Density functional theory data (GGA-PBE) for crystalline FeReTc2 at its relaxed geometry.

Results
As for the total magnetization: 0.32 μB per atom. The crystal system is tetragonal. The formation energy comes out at 0.0724 eV/atom. As for the density of states at the Fermi level: 4.5 states/eV/f.u.

```
data_FeReTc2
_space_group_name_H-M_alt 'P 4/m m m'
_space_group_IT_number 123
_space_group_name_Hall '-P 4 2'
_cell_length_a 3.815
_cell_length_b 3.815
_cell_length_c 3.811
_cell_angle_alpha 90.00
_cell_angle_beta 90.00
_cell_angle_gamma 90.00
loop_
_atom_site_label
_atom_site_type_symbol
_atom_site_fract_x
_atom_site_fract_y
_atom_site_fract_z
Fe1 Fe 0.000 0.000 0.000
Re1 Re 0.500 0.500 0.000
Tc1 Tc 0.000 0.500 0.500
```

***

Entry 17:
Density functional theory data (GGA-PBE) for crystalline FeRe6Tc2 at its relaxed geometry.

Results
As for the total magnetization: 0.00 μB per atom. The crystal system is tetragonal. The formation energy comes out at 1.2090 eV/atom. As for the density of states at the Fermi level: 9.8 states/eV/f.u.

```
data_FeRe6Tc2
_space_group_name_H-M_alt 'P 42/m n m'
_space_group_IT_number 136
_space_group_name_Hall '-P 4n 2n'
_cell_length_a 5.266
_cell_length_b 5.266
_cell_length_c 11.934
_cell_angle_alpha 90.00
_cell_angle_beta 90.00
_cell_angle_gamma 90.00
loop_
_atom_site_label
_atom_site_type_symbol
_atom_site_fract_x
_atom_site_fract_y
_atom_site_fract_z
Fe1 Fe 0.000 0.000 0.000
Re1 Re 0.202 0.202 0.385
Re2 Re 0.204 0.796 0.500
Tc1 Tc 0.000 0.000 0.221
```

***

Entry 18:
Density functional theory data (GGA-PBE) for crystalline FeRe2Tc at its relaxed geometry.

Results
As for the total magnetization: 0.71 μB per atom. The crystal system is tetragonal. The formation energy comes out at 0.1583 eV/atom. As for the density of states at the Fermi level: 3.8 states/eV/f.u.

```
data_FeRe2Tc
_space_group_name_H-M_alt 'P 4 m m'
_space_group_IT_number 99
_space_group_name_Hall 'P 4 -2'
_cell_length_a 3.057
_cell_length_b 3.057
_cell_length_c 6.065
_cell_angle_alpha 90.00
_cell_angle_beta 90.00
_cell_angle_gamma 90.00
loop_
_atom_site_label
_atom_site_type_symbol
_atom_site_fract_x
_atom_site_fract_y
_atom_site_fract_z
Fe1 Fe 0.000 0.000 0.000
Re1 Re 0.000 0.000 0.496
Re2 Re 0.500 0.500 0.237
Tc1 Tc 0.500 0.500 0.775
```

***

Entry 19:
Density functional theory data (GGA-PBE) for crystalline FeRe2Tc at its relaxed geometry.

Results
As for the total magnetization: 0.32 μB per atom. The crystal system is tetragonal. The formation energy comes out at 0.0702 eV/atom. As for the density of states at the Fermi level: 3.4 states/eV/f.u.

```
data_FeRe2Tc
_space_group_name_H-M_alt 'I -4 m 2'
_space_group_IT_number 119
_space_group_name_Hall 'I -4 -2'
_cell_length_a 3.840
_cell_length_b 3.840
_cell_length_c 7.593
_cell_angle_alpha 90.00
_cell_angle_beta 90.00
_cell_angle_gamma 90.00
loop_
_atom_site_label
_atom_site_type_symbol
_atom_site_fract_x
_atom_site_fract_y
_atom_site_fract_z
Fe1 Fe 0.000 0.000 0.000
Re1 Re 0.000 0.000 0.500
Re2 Re 0.000 0.500 0.750
Tc1 Tc 0.000 0.500 0.250
```

***

Entry 20:
Density functional theory data (GGA-PBE) for crystalline FeReTc2 at its relaxed geometry.

Results
As for the total magnetization: 0.41 μB per atom. The crystal system is trigonal. The formation energy comes out at 0.1160 eV/atom. As for the density of states at the Fermi level: 3.7 states/eV/f.u.

```
data_FeReTc2
_space_group_name_H-M_alt 'R -3 m'
_space_group_IT_number 166
_space_group_name_Hall '-R 3 2"'
_cell_length_a 2.7197
_cell_length_b 2.7197
_cell_length_c 26.2601
_cell_angle_alpha 90.00
_cell_angle_beta 90.00
_cell_angle_gamma 120.00
loop_
_atom_site_label
_atom_site_type_symbol
_atom_site_fract_x
_atom_site_fract_y
_atom_site_fract_z
Fe1 Fe 0.0000 0.0000 0.0000
Re1 Re 0.0000 0.0000 0.5000
Tc1 Tc 0.0000 0.0000 0.2530
```